Computed, not measured: a geometry-optimized K2Pu2SnS6 structure at the PBE-GGA level of DFT.

The structure in POSCAR format:
```
K2Pu2SnS6
1.0
7.082 -0.052 0.103
-3.546 6.131 0.103
-1.219 -2.094 7.325
S Pu Sn K
6 2 1 2
direct
0.057 0.412 0.692
0.943 0.588 0.308
0.290 0.290 0.305
0.710 0.710 0.695
0.588 0.943 0.308
0.412 0.057 0.692
0.334 0.666 0.500
0.666 0.334 0.500
0.000 0.000 0.500
0.161 0.839 0.000
0.839 0.161 0.000
```

## Properties
Spin magnetization, Bohr magnetons per cell: 8.0
Uncorrected energy, eV/cell: -73.5
V, Å³/atom: 29.07